Record 1
# La4SnBi2Te | the Alexandria database | PBE | relaxed
# total DFT energy (no corrections): -87.40 eV for the cell shown
# spin magnetization: 0.0 μB/cell
# energy relative to the elements, uncorrected: -1135.5 meV per atom
data_La4SnBi2Te
_chemical_formula_sum 'La8 Sn2 Bi4 Te2'
_cell_length_a 6.593
_cell_length_b 6.593
_cell_length_c 13.191
_cell_angle_alpha 90.00
_cell_angle_beta 90.00
_cell_angle_gamma 90.00
_symmetry_space_group_name_H-M 'P 1'
_symmetry_Int_Tables_number 1
loop_
_symmetry_equiv_pos_as_xyz
'x,y,z'
loop_
_atom_site_label
_atom_site_type_symbol
_atom_site_fract_x
_atom_site_fract_y
_atom_site_fract_z
La1 La 0.000 0.000 0.248
La2 La 0.000 0.000 0.752
La3 La 0.000 0.500 0.000
La4 La 0.000 0.500 0.500
La5 La 0.500 0.000 0.000
La6 La 0.500 0.000 0.500
La7 La 0.500 0.500 0.252
La8 La 0.500 0.500 0.748
Sn1 Sn 0.000 0.000 0.000
Sn2 Sn 0.500 0.500 0.500
Bi1 Bi 0.000 0.000 0.500
Bi2 Bi 0.000 0.500 0.250
Bi3 Bi 0.500 0.000 0.750
Bi4 Bi 0.500 0.500 0.000
Te1 Te 0.000 0.500 0.750
Te2 Te 0.500 0.000 0.250


Record 2
# FeCo4Ni5 | the Alexandria database | PBE | relaxed
# total DFT energy (no corrections): -62.21 eV for the cell shown
# spin magnetization: 13.0 μB/cell
# energy of formation from the pure elements: 0.36 eV per atom
data_FeCo4Ni5
_chemical_formula_sum 'Fe1 Co4 Ni5'
_cell_length_a 5.998
_cell_length_b 5.998
_cell_length_c 5.998
_cell_angle_alpha 143.52
_cell_angle_beta 106.07
_cell_angle_gamma 85.36
_symmetry_space_group_name_H-M 'P 1'
_symmetry_Int_Tables_number 1
loop_
_symmetry_equiv_pos_as_xyz
'x,y,z'
loop_
_atom_site_label
_atom_site_type_symbol
_atom_site_fract_x
_atom_site_fract_y
_atom_site_fract_z
Fe1 Fe 0.000 0.000 0.000
Co1 Co 0.254 0.254 0.000
Co2 Co 0.318 0.000 0.318
Co3 Co 0.682 0.000 0.682
Co4 Co 0.746 0.746 0.000
Ni1 Ni 0.025 0.344 0.681
Ni2 Ni 0.337 0.656 0.681
Ni3 Ni 0.500 0.500 0.000
Ni4 Ni 0.663 0.344 0.319
Ni5 Ni 0.975 0.656 0.319


Record 3
# PuInH8Ir2 | the Alexandria database | PBE | relaxed
# total DFT energy (no corrections): -60.95 eV for the cell shown
# spin magnetization: 5.5 μB/cell
data_PuInH8Ir2
_chemical_formula_sum 'Pu1 In1 H8 Ir2'
_cell_length_a 8.347
_cell_length_b 8.347
_cell_length_c 8.347
_cell_angle_alpha 28.18
_cell_angle_beta 28.18
_cell_angle_gamma 28.18
_symmetry_space_group_name_H-M 'P 1'
_symmetry_Int_Tables_number 1
loop_
_symmetry_equiv_pos_as_xyz
'x,y,z'
loop_
_atom_site_label
_atom_site_type_symbol
_atom_site_fract_x
_atom_site_fract_y
_atom_site_fract_z
Pu1 Pu 0.000 0.000 0.000
In1 In 0.500 0.500 0.500
H1 H 0.161 0.772 0.327
H2 H 0.228 0.673 0.839
H3 H 0.314 0.314 0.314
H4 H 0.327 0.161 0.772
H5 H 0.673 0.839 0.228
H6 H 0.686 0.686 0.686
H7 H 0.772 0.327 0.161
H8 H 0.839 0.228 0.673
Ir1 Ir 0.244 0.244 0.244
Ir2 Ir 0.756 0.756 0.756


Record 4
# TlCuPt2 | the Alexandria database | PBE | relaxed
# total DFT energy (no corrections): -73.20 eV for the cell shown
# spin magnetization: 0.0 μB/cell
# energy of formation from the pure elements: 0.06 eV per atom
data_TlCuPt2
_chemical_formula_sum 'Tl4 Cu4 Pt8'
_cell_length_a 6.445
_cell_length_b 6.445
_cell_length_c 6.445
_cell_angle_alpha 90.00
_cell_angle_beta 90.00
_cell_angle_gamma 90.00
_symmetry_space_group_name_H-M 'P 1'
_symmetry_Int_Tables_number 1
loop_
_symmetry_equiv_pos_as_xyz
'x,y,z'
loop_
_atom_site_label
_atom_site_type_symbol
_atom_site_fract_x
_atom_site_fract_y
_atom_site_fract_z
Tl1 Tl 0.000 0.000 0.000
Tl2 Tl 0.000 0.500 0.500
Tl3 Tl 0.500 0.000 0.500
Tl4 Tl 0.500 0.500 0.000
Cu1 Cu 0.250 0.250 0.750
Cu2 Cu 0.250 0.750 0.250
Cu3 Cu 0.750 0.250 0.250
Cu4 Cu 0.750 0.750 0.750
Pt1 Pt 0.000 0.000 0.500
Pt2 Pt 0.000 0.500 0.000
Pt3 Pt 0.250 0.250 0.250
Pt4 Pt 0.250 0.750 0.750
Pt5 Pt 0.500 0.000 0.000
Pt6 Pt 0.500 0.500 0.500
Pt7 Pt 0.750 0.250 0.750
Pt8 Pt 0.750 0.750 0.250


Record 5
# CrOs3Cl | the Alexandria database | PBE | relaxed
# total DFT energy (no corrections): -34.34 eV for the cell shown
# spin magnetization: 3.5 μB/cell
# energy relative to the elements, uncorrected: 2163.2 meV per atom
# E above lowest polymorph: 275.6 meV per atom
data_CrOs3Cl
_chemical_formula_sum 'Cr1 Os3 Cl1'
_cell_length_a 4.543
_cell_length_b 4.543
_cell_length_c 4.543
_cell_angle_alpha 90.00
_cell_angle_beta 90.00
_cell_angle_gamma 90.00
_symmetry_space_group_name_H-M 'P 1'
_symmetry_Int_Tables_number 1
loop_
_symmetry_equiv_pos_as_xyz
'x,y,z'
loop_
_atom_site_label
_atom_site_type_symbol
_atom_site_fract_x
_atom_site_fract_y
_atom_site_fract_z
Cr1 Cr 0.000 0.000 0.000
Os1 Os 0.000 0.000 0.500
Os2 Os 0.000 0.500 0.000
Os3 Os 0.500 0.000 0.000
Cl1 Cl 0.500 0.500 0.500


Record 6
# Ho2MnOs | the Alexandria database | PBE | relaxed
# total DFT energy (no corrections): -118.66 eV for the cell shown
# spin magnetization: 14.6 μB/cell
# E above lowest polymorph: 0.0 meV per atom
# energy of formation from the pure elements: -0.03 eV per atom
data_Ho2MnOs
_chemical_formula_sum 'Ho8 Mn4 Os4'
_cell_length_a 6.902
_cell_length_b 6.902
_cell_length_c 6.902
_cell_angle_alpha 90.00
_cell_angle_beta 90.00
_cell_angle_gamma 90.00
_symmetry_space_group_name_H-M 'P 1'
_symmetry_Int_Tables_number 1
loop_
_symmetry_equiv_pos_as_xyz
'x,y,z'
loop_
_atom_site_label
_atom_site_type_symbol
_atom_site_fract_x
_atom_site_fract_y
_atom_site_fract_z
Ho1 Ho 0.250 0.250 0.250
Ho2 Ho 0.250 0.250 0.750
Ho3 Ho 0.250 0.750 0.250
Ho4 Ho 0.250 0.750 0.750
Ho5 Ho 0.750 0.250 0.250
Ho6 Ho 0.750 0.250 0.750
Ho7 Ho 0.750 0.750 0.250
Ho8 Ho 0.750 0.750 0.750
Mn1 Mn 0.000 0.000 0.000
Mn2 Mn 0.000 0.500 0.500
Mn3 Mn 0.500 0.000 0.500
Mn4 Mn 0.500 0.500 0.000
Os1 Os 0.000 0.000 0.500
Os2 Os 0.000 0.500 0.000
Os3 Os 0.500 0.000 0.000
Os4 Os 0.500 0.500 0.500


Record 7
# Lu2ScBe | the Alexandria database | PBE | relaxed
# total DFT energy (no corrections): -49.46 eV for the cell shown
# spin magnetization: 0.0 μB/cell
# E above lowest polymorph: 606.2 meV per atom
# energy of formation from the pure elements: 0.65 eV per atom
data_Lu2ScBe
_chemical_formula_sum 'Lu6 Sc3 Be3'
_cell_length_a 3.280
_cell_length_b 3.280
_cell_length_c 32.828
_cell_angle_alpha 90.00
_cell_angle_beta 90.00
_cell_angle_gamma 120.00
_symmetry_space_group_name_H-M 'P 1'
_symmetry_Int_Tables_number 1
loop_
_symmetry_equiv_pos_as_xyz
'x,y,z'
loop_
_atom_site_label
_atom_site_type_symbol
_atom_site_fract_x
_atom_site_fract_y
_atom_site_fract_z
Lu1 Lu 0.000 0.000 0.086
Lu2 Lu 0.000 0.000 0.914
Lu3 Lu 0.333 0.667 0.580
Lu4 Lu 0.333 0.667 0.753
Lu5 Lu 0.667 0.333 0.247
Lu6 Lu 0.667 0.333 0.420
Sc1 Sc 0.000 0.000 0.500
Sc2 Sc 0.333 0.667 0.167
Sc3 Sc 0.667 0.333 0.833
Be1 Be 0.000 0.000 0.000
Be2 Be 0.333 0.667 0.667
Be3 Be 0.667 0.333 0.333


Record 8
# Ca3ScNi8 | the Alexandria database | PBE | relaxed
# total DFT energy (no corrections): -61.63 eV for the cell shown
# spin magnetization: 0.0 μB/cell
# energy of formation from the pure elements: -0.25 eV per atom
data_Ca3ScNi8
_chemical_formula_sum 'Ca3 Sc1 Ni8'
_cell_length_a 8.709
_cell_length_b 8.709
_cell_length_c 8.709
_cell_angle_alpha 33.63
_cell_angle_beta 33.63
_cell_angle_gamma 33.63
_symmetry_space_group_name_H-M 'P 1'
_symmetry_Int_Tables_number 1
loop_
_symmetry_equiv_pos_as_xyz
'x,y,z'
loop_
_atom_site_label
_atom_site_type_symbol
_atom_site_fract_x
_atom_site_fract_y
_atom_site_fract_z
Ca1 Ca 0.000 0.000 0.000
Ca2 Ca 0.125 0.125 0.125
Ca3 Ca 0.499 0.499 0.499
Sc1 Sc 0.624 0.624 0.624
Ni1 Ni 0.054 0.562 0.562
Ni2 Ni 0.063 0.063 0.568
Ni3 Ni 0.063 0.568 0.063
Ni4 Ni 0.311 0.311 0.311
Ni5 Ni 0.562 0.054 0.562
Ni6 Ni 0.562 0.562 0.054
Ni7 Ni 0.568 0.063 0.063
Ni8 Ni 0.812 0.812 0.812


Record 9
# Pu2TiAg | the Alexandria database | PBE | relaxed
# total DFT energy (no corrections): -38.48 eV for the cell shown
# spin magnetization: 11.1 μB/cell
# E above lowest polymorph: 92.0 meV per atom
# energy of formation from the pure elements: 0.23 eV per atom
data_Pu2TiAg
_chemical_formula_sum 'Pu2 Ti1 Ag1'
_cell_length_a 4.238
_cell_length_b 4.238
_cell_length_c 4.766
_cell_angle_alpha 90.00
_cell_angle_beta 90.00
_cell_angle_gamma 90.00
_symmetry_space_group_name_H-M 'P 1'
_symmetry_Int_Tables_number 1
loop_
_symmetry_equiv_pos_as_xyz
'x,y,z'
loop_
_atom_site_label
_atom_site_type_symbol
_atom_site_fract_x
_atom_site_fract_y
_atom_site_fract_z
Pu1 Pu 0.000 0.500 0.000
Pu2 Pu 0.500 0.000 0.000
Ti1 Ti 0.000 0.000 0.500
Ag1 Ag 0.500 0.500 0.500


Record 10
# Ag4PbO5 | the Alexandria database | PBE | relaxed
# total DFT energy (no corrections): -41.29 eV for the cell shown
# spin magnetization: 0.0 μB/cell
# energy relative to the elements, uncorrected: -138.4 meV per atom
data_Ag4PbO5
_chemical_formula_sum 'Ag4 Pb1 O5'
_cell_length_a 13.664
_cell_length_b 13.664
_cell_length_c 13.664
_cell_angle_alpha 14.49
_cell_angle_beta 14.49
_cell_angle_gamma 14.49
_symmetry_space_group_name_H-M 'P 1'
_symmetry_Int_Tables_number 1
loop_
_symmetry_equiv_pos_as_xyz
'x,y,z'
loop_
_atom_site_label
_atom_site_type_symbol
_atom_site_fract_x
_atom_site_fract_y
_atom_site_fract_z
Ag1 Ag 0.094 0.094 0.094
Ag2 Ag 0.302 0.302 0.302
Ag3 Ag 0.698 0.698 0.698
Ag4 Ag 0.906 0.906 0.906
Pb1 Pb 0.500 0.500 0.500
O1 O 0.000 0.000 0.000
O2 O 0.200 0.200 0.200
O3 O 0.394 0.394 0.394
O4 O 0.606 0.606 0.606
O5 O 0.800 0.800 0.800


Record 11
# HfZn2Au | the Alexandria database | PBE | relaxed
# total DFT energy (no corrections): -67.61 eV for the cell shown
# spin magnetization: 0.0 μB/cell
# energy of formation from the pure elements: -0.28 eV per atom
data_HfZn2Au
_chemical_formula_sum 'Hf4 Zn8 Au4'
_cell_length_a 6.492
_cell_length_b 6.492
_cell_length_c 6.492
_cell_angle_alpha 90.00
_cell_angle_beta 90.00
_cell_angle_gamma 90.00
_symmetry_space_group_name_H-M 'P 1'
_symmetry_Int_Tables_number 1
loop_
_symmetry_equiv_pos_as_xyz
'x,y,z'
loop_
_atom_site_label
_atom_site_type_symbol
_atom_site_fract_x
_atom_site_fract_y
_atom_site_fract_z
Hf1 Hf 0.000 0.000 0.000
Hf2 Hf 0.000 0.500 0.500
Hf3 Hf 0.500 0.000 0.500
Hf4 Hf 0.500 0.500 0.000
Zn1 Zn 0.000 0.000 0.500
Zn2 Zn 0.000 0.500 0.000
Zn3 Zn 0.250 0.250 0.250
Zn4 Zn 0.250 0.750 0.750
Zn5 Zn 0.500 0.000 0.000
Zn6 Zn 0.500 0.500 0.500
Zn7 Zn 0.750 0.250 0.750
Zn8 Zn 0.750 0.750 0.250
Au1 Au 0.250 0.250 0.750
Au2 Au 0.250 0.750 0.250
Au3 Au 0.750 0.250 0.250
Au4 Au 0.750 0.750 0.750


Record 12
# LiCe4Se7 | the Alexandria database | PBE | relaxed
# total DFT energy (no corrections): -70.29 eV for the cell shown
# spin magnetization: 1.1 μB/cell
# energy relative to the elements, uncorrected: -1687.2 meV per atom
data_LiCe4Se7
_chemical_formula_sum 'Li1 Ce4 Se7'
_cell_length_a 7.024
_cell_length_b 7.024
_cell_length_c 12.197
_cell_angle_alpha 104.68
_cell_angle_beta 104.68
_cell_angle_gamma 34.02
_symmetry_space_group_name_H-M 'P 1'
_symmetry_Int_Tables_number 1
loop_
_symmetry_equiv_pos_as_xyz
'x,y,z'
loop_
_atom_site_label
_atom_site_type_symbol
_atom_site_fract_x
_atom_site_fract_y
_atom_site_fract_z
Li1 Li 0.000 0.000 0.000
Ce1 Ce 0.111 0.111 0.418
Ce2 Ce 0.236 0.236 0.867
Ce3 Ce 0.418 0.418 0.623
Ce4 Ce 0.801 0.801 0.208
Se1 Se 0.079 0.079 0.644
Se2 Se 0.146 0.146 0.201
Se3 Se 0.386 0.386 0.079
Se4 Se 0.449 0.449 0.373
Se5 Se 0.627 0.627 0.946
Se6 Se 0.772 0.772 0.475
Se7 Se 0.858 0.858 0.782


Record 13
# PrEr4Cu | the Alexandria database | PBE | relaxed
# total DFT energy (no corrections): -27.44 eV for the cell shown
# spin magnetization: 0.0 μB/cell
# energy of formation from the pure elements: -0.05 eV per atom
data_PrEr4Cu
_chemical_formula_sum 'Pr1 Er4 Cu1'
_cell_length_a 3.517
_cell_length_b 3.517
_cell_length_c 13.652
_cell_angle_alpha 90.00
_cell_angle_beta 90.00
_cell_angle_gamma 90.00
_symmetry_space_group_name_H-M 'P 1'
_symmetry_Int_Tables_number 1
loop_
_symmetry_equiv_pos_as_xyz
'x,y,z'
loop_
_atom_site_label
_atom_site_type_symbol
_atom_site_fract_x
_atom_site_fract_y
_atom_site_fract_z
Pr1 Pr 0.000 0.000 0.000
Er1 Er 0.000 0.000 0.378
Er2 Er 0.000 0.000 0.622
Er3 Er 0.500 0.500 0.190
Er4 Er 0.500 0.500 0.810
Cu1 Cu 0.500 0.500 0.500